Entry 1:
First-principles (PBE-GGA) data for crystalline MnSiPt2 at its relaxed geometry, as listed in Alexandria via LeMat-Bulk.

The structure in CIF format:
```
data_MnSiPt2
_space_group_name_H-M_alt 'C m m m'
_space_group_IT_number 65
_space_group_name_Hall '-C 2 2'
_cell_length_a 5.485
_cell_length_b 6.236
_cell_length_c 3.418
_cell_angle_alpha 90.00
_cell_angle_beta 90.00
_cell_angle_gamma 90.00
loop_
_atom_site_label
_atom_site_fract_x
_atom_site_fract_y
_atom_site_fract_z
Mn1 0.000 0.000 0.000
Si1 0.000 0.500 0.000
Pt1 0.250 0.250 0.500
```

=====

Entry 2:
First-principles (PBE-GGA) data for crystalline MnSi2Pt2 at its relaxed geometry, as listed in Alexandria via LeMat-Bulk.

The structure in CIF format:
```
data_MnSi2Pt2
_space_group_name_H-M_alt 'P 4/m b m'
_space_group_IT_number 127
_space_group_name_Hall '-P 4 2ab'
_cell_length_a 6.404
_cell_length_b 6.404
_cell_length_c 3.394
_cell_angle_alpha 90.00
_cell_angle_beta 90.00
_cell_angle_gamma 90.00
loop_
_atom_site_label
_atom_site_fract_x
_atom_site_fract_y
_atom_site_fract_z
Mn1 0.000 0.000 0.000
Si1 0.145 0.355 0.000
Pt1 0.160 0.660 0.500
```

=====

Entry 3:
First-principles (PBE-GGA) data for crystalline Mn2SiPt8 at its relaxed geometry, as listed in Alexandria via LeMat-Bulk.

The structure in CIF format:
```
data_Mn2SiPt8
_space_group_name_H-M_alt 'I m m m'
_space_group_IT_number 71
_space_group_name_Hall '-I 2 2'
_cell_length_a 4.164
_cell_length_b 7.391
_cell_length_c 11.021
_cell_angle_alpha 90.00
_cell_angle_beta 90.00
_cell_angle_gamma 90.00
loop_
_atom_site_label
_atom_site_fract_x
_atom_site_fract_y
_atom_site_fract_z
Mn1 0.000 0.000 0.198
Si1 0.000 0.000 0.500
Pt1 0.000 0.179 0.000
Pt2 0.000 0.274 0.344
Pt3 0.000 0.500 0.131
```

=====

Entry 4:
First-principles (PBE-GGA) data for crystalline MnSiPt2 at its relaxed geometry, as listed in Alexandria via LeMat-Bulk.

The structure in CIF format:
```
data_MnSiPt2
_space_group_name_H-M_alt 'P 1 2/m 1'
_space_group_IT_number 10
_cell_length_a 2.884
_cell_length_b 3.864
_cell_length_c 5.495
_cell_angle_alpha 90.00
_cell_angle_beta 103.87
_cell_angle_gamma 90.00
loop_
_space_group_symop_operation_xyz
'x,y,z'
'-x,-y,-z'
'-x,y,-z'
'x,-y,z'
loop_
_atom_site_label
_atom_site_fract_x
_atom_site_fract_y
_atom_site_fract_z
Mn1 0.000 0.000 0.000
Si1 0.000 0.000 0.500
Pt1 0.378 0.500 0.741
```

=====

Entry 5:
First-principles (PBE-GGA) data for crystalline MnSi2Pt at its relaxed geometry, as listed in Alexandria via LeMat-Bulk.

The structure in CIF format:
```
data_MnSi2Pt
_space_group_name_H-M_alt 'P 4 m m'
_space_group_IT_number 99
_cell_length_a 3.175
_cell_length_b 3.175
_cell_length_c 5.234
_cell_angle_alpha 90.00
_cell_angle_beta 90.00
_cell_angle_gamma 90.00
loop_
_space_group_symop_operation_xyz
'x,y,z'
'-y,x,z'
'-x,-y,z'
'y,-x,z'
'-x,y,z'
'y,x,z'
'x,-y,z'
'-y,-x,z'
loop_
_atom_site_label
_atom_site_fract_x
_atom_site_fract_y
_atom_site_fract_z
Mn1 0.000 0.000 0.000
Si1 0.000 0.000 0.557
Si2 0.500 0.500 0.845
Pt1 0.500 0.500 0.356
```

=====

Entry 6:
First-principles (PBE-GGA) data for crystalline MnSi2Pt at its relaxed geometry, as listed in Alexandria via LeMat-Bulk.

The structure in CIF format:
```
data_MnSi2Pt
_space_group_name_H-M_alt 'R -3 m'
_space_group_IT_number 166
_space_group_name_Hall '-R 3 2"'
_cell_length_a 2.8065
_cell_length_b 2.8065
_cell_length_c 23.0410
_cell_angle_alpha 90.00
_cell_angle_beta 90.00
_cell_angle_gamma 120.00
loop_
_atom_site_label
_atom_site_fract_x
_atom_site_fract_y
_atom_site_fract_z
Mn1 0.0000 0.0000 0.0000
Si1 0.0000 0.0000 0.2571
Pt1 0.0000 0.0000 0.5000
```

=====

Entry 7:
First-principles (PBE-GGA) data for crystalline MnSi2Pt at its relaxed geometry, as listed in Alexandria via LeMat-Bulk.

The structure in CIF format:
```
data_MnSi2Pt
_space_group_name_H-M_alt 'I m m 2'
_space_group_IT_number 44
_cell_length_a 3.334
_cell_length_b 3.434
_cell_length_c 9.583
_cell_angle_alpha 90.00
_cell_angle_beta 90.00
_cell_angle_gamma 90.00
loop_
_space_group_symop_operation_xyz
'x,y,z'
'-x,-y,z'
'-x,y,z'
'x,-y,z'
'x+1/2,y+1/2,z+1/2'
'-x+1/2,-y+1/2,z+1/2'
'-x+1/2,y+1/2,z+1/2'
'x+1/2,-y+1/2,z+1/2'
loop_
_atom_site_label
_atom_site_fract_x
_atom_site_fract_y
_atom_site_fract_z
Mn1 0.000 0.000 0.000
Si1 0.000 0.000 0.560
Si2 0.000 0.500 0.327
Pt1 0.000 0.500 0.749
```

=====

Entry 8:
First-principles (PBE-GGA) data for crystalline MnSiPt2 at its relaxed geometry, as listed in Alexandria via LeMat-Bulk.

The structure in CIF format:
```
data_MnSiPt2
_space_group_name_H-M_alt 'P 4/m m m'
_space_group_IT_number 123
_space_group_name_Hall '-P 4 2'
_cell_length_a 2.986
_cell_length_b 2.986
_cell_length_c 6.640
_cell_angle_alpha 90.00
_cell_angle_beta 90.00
_cell_angle_gamma 90.00
loop_
_atom_site_label
_atom_site_fract_x
_atom_site_fract_y
_atom_site_fract_z
Mn1 0.000 0.000 0.000
Si1 0.000 0.000 0.500
Pt1 0.500 0.500 0.281
```

=====

Entry 9:
First-principles (PBE-GGA) data for crystalline MnSiPt3 at its relaxed geometry, as listed in Alexandria via LeMat-Bulk.

The structure in CIF format:
```
data_MnSiPt3
_space_group_name_H-M_alt 'P m -3 m'
_space_group_IT_number 221
_space_group_name_Hall '-P 4 2 3'
_cell_length_a 4.520
_cell_length_b 4.520
_cell_length_c 4.520
_cell_angle_alpha 90.00
_cell_angle_beta 90.00
_cell_angle_gamma 90.00
loop_
_atom_site_label
_atom_site_fract_x
_atom_site_fract_y
_atom_site_fract_z
Mn1 0.000 0.000 0.000
Si1 0.500 0.500 0.500
Pt1 0.000 0.500 0.500
```

Values from the calculation:
- distance to the lowest polymorph of the same formula (eV/atom) = 0.593

=====

Entry 10:
First-principles (PBE-GGA) data for crystalline MnSi3Pt at its relaxed geometry, as listed in Alexandria via LeMat-Bulk.

The structure in CIF format:
```
data_MnSi3Pt
_space_group_name_H-M_alt 'P m -3 m'
_space_group_IT_number 221
_space_group_name_Hall '-P 4 2 3'
_cell_length_a 4.325
_cell_length_b 4.325
_cell_length_c 4.325
_cell_angle_alpha 90.00
_cell_angle_beta 90.00
_cell_angle_gamma 90.00
loop_
_atom_site_label
_atom_site_fract_x
_atom_site_fract_y
_atom_site_fract_z
Mn1 0.000 0.000 0.000
Si1 0.000 0.000 0.500
Pt1 0.500 0.500 0.500
```

Values from the calculation:
- distance to the lowest polymorph of the same formula (eV/atom) = 0.000

=====

Entry 11:
First-principles (PBE-GGA) data for crystalline MnSiPt2 at its relaxed geometry, as listed in Alexandria via LeMat-Bulk.

The structure in CIF format:
```
data_MnSiPt2
_space_group_name_H-M_alt 'R 3 m'
_space_group_IT_number 160
_space_group_name_Hall 'R 3 -2"'
_cell_length_a 2.7965
_cell_length_b 2.7965
_cell_length_c 25.1577
_cell_angle_alpha 90.00
_cell_angle_beta 90.00
_cell_angle_gamma 120.00
loop_
_atom_site_label
_atom_site_fract_x
_atom_site_fract_y
_atom_site_fract_z
Mn1 0.0000 0.0000 0.0000
Si1 0.0000 0.0000 0.2600
Pt1 0.0000 0.0000 0.5168
Pt2 0.0000 0.0000 0.7511
```

=====

Entry 12:
First-principles (PBE-GGA) data for crystalline MnSiPt2 at its relaxed geometry, as listed in Alexandria via LeMat-Bulk.

The structure in CIF format:
```
data_MnSiPt2
_space_group_name_H-M_alt 'P 4/m m m'
_space_group_IT_number 123
_space_group_name_Hall '-P 4 2'
_cell_length_a 3.916
_cell_length_b 3.916
_cell_length_c 3.743
_cell_angle_alpha 90.00
_cell_angle_beta 90.00
_cell_angle_gamma 90.00
loop_
_atom_site_label
_atom_site_fract_x
_atom_site_fract_y
_atom_site_fract_z
Mn1 0.000 0.000 0.000
Si1 0.500 0.500 0.000
Pt1 0.000 0.500 0.500
```

=====

Entry 13:
First-principles (PBE-GGA) data for crystalline MnSi2Pt at its relaxed geometry, as listed in Alexandria via LeMat-Bulk.

The structure in CIF format:
```
data_MnSi2Pt
_space_group_name_H-M_alt 'I -4 2 d'
_space_group_IT_number 122
_space_group_name_Hall 'I -4 2bw'
_cell_length_a 6.919
_cell_length_b 6.919
_cell_length_c 5.248
_cell_angle_alpha 90.00
_cell_angle_beta 90.00
_cell_angle_gamma 90.00
loop_
_atom_site_label
_atom_site_fract_x
_atom_site_fract_y
_atom_site_fract_z
Mn1 0.000 0.000 0.000
Si1 0.231 0.750 0.625
Pt1 0.000 0.000 0.500
```

=====

Entry 14:
First-principles (PBE-GGA) data for crystalline MnSi2Pt at its relaxed geometry, as listed in Alexandria via LeMat-Bulk.

The structure in CIF format:
```
data_MnSi2Pt
_space_group_name_H-M_alt 'F -4 3 m'
_space_group_IT_number 216
_space_group_name_Hall 'F -4 2 3'
_cell_length_a 6.124
_cell_length_b 6.124
_cell_length_c 6.124
_cell_angle_alpha 90.00
_cell_angle_beta 90.00
_cell_angle_gamma 90.00
loop_
_atom_site_label
_atom_site_fract_x
_atom_site_fract_y
_atom_site_fract_z
Mn1 0.000 0.000 0.000
Si1 0.000 0.000 0.500
Si2 0.250 0.250 0.250
Pt1 0.250 0.250 0.750
```

=====

| no. | raw total energy (eV/atom) |
| --- | --- |
| 1 | -7.07 |
| 2 | -6.61 |
| 3 | -6.83 |
| 4 | -7.05 |
| 5 | -6.88 |
| 6 | -6.78 |
| 7 | -6.84 |
| 8 | -7.04 |
| 9 | -6.41 |
| 10 | -5.98 |
| 11 | -6.96 |
| 12 | -7.08 |
| 13 | -6.49 |
| 14 | -6.46 |